Record 1
First-principles (PBE) data for Fe2RuPt after structural relaxation, as listed in Alexandria via LeMat-Bulk.

It has space group P2/m (No. 10), with a = 2.654 Å, b = 4.309 Å, c = 4.900 Å, α = 90.00°, β = 94.82° and γ = 90.00°. Symmetry generates all atoms from Fe at (0.244, 0.000, 0.238), Ru at (0.500, 0.500, 0.000) and Pt at (0.000, 0.500, 0.500).

For the formation energy from the elements, the calculation gives 11 kJ per mole of atoms. The volume comes out at 13.96 Å³ per atom.

***

Record 2
First-principles (PBE) data for KAgPb2Cl6 after structural relaxation, as listed in Alexandria via LeMat-Bulk.

It has space group P1 (No. 1), with a = 7.421 Å, b = 7.459 Å, c = 7.797 Å, α = 90.06°, β = 118.16° and γ = 119.68°. Symmetry generates all atoms from K at (0.000, 0.000, 0.000), Ag at (0.995, 0.494, 0.485), Pb at (0.577, 0.286, 0.865), Pb at (0.587, 0.791, 0.379), Cl at (0.077, 0.195, 0.653), Cl at (0.078, 0.420, 0.177), Cl at (0.455, 0.876, 0.656), Cl at (0.506, 0.083, 0.161), Cl at (0.734, 0.652, 0.155) and Cl at (0.787, 0.575, 0.652).

The volume comes out at 31.47 Å³ per atom. For the formation energy (no corrections), the calculation gives -1.167 eV per atom.